DFT (PBE) results for a relaxed Ca2AlTc crystal.

abc: 6.9691 5.6308 2.9866
angles: 90.00 64.63 120.35
Fractional positions:
Ca: 0.0000 0.0000 0.0000
Ca: 0.5000 0.0000 0.5000
Tc: 0.0000 0.5000 0.5000
Al: 0.5000 0.5000 0.0000

## Properties
Magnetic moment   0.00 μB per formula unit
Energy of formation from the pure elements   158 kJ/mol of formula units
Crystal system   orthorhombic



DFT (PBE) results for a relaxed CaAlTc2 crystal.

abc: 2.7715 2.7715 8.8795
angles: 90.00 90.00 90.00
Site moments in Bohr magnetons follow the coordinates.
Fractional positions:
Ca: 0.5000 0.5000 0.7500  0.00
Tc: 0.0000 0.0000 0.0371  0.31
Tc: 0.0000 0.0000 0.4629  0.31
Al: 0.5000 0.5000 0.2500  0.00

## Properties
Magnetic moment   0.69 μB per formula unit
Energy of formation from the pure elements   125 kJ/mol of formula units
Crystal system   tetragonal



DFT (PBE) results for a relaxed CaAlTc2 crystal.

abc: 5.5154 5.5154 5.5154
angles: 148.64 126.77 63.09
Fractional positions:
Ca: 0.2500 0.7500 0.5000
Tc: 0.9747 0.9747 0.0000
Tc: 0.5253 0.5253 0.0000
Al: 0.7500 0.2500 0.5000

## Properties
Magnetic moment   0.00 μB per formula unit
Energy of formation from the pure elements   144 kJ/mol of formula units
Crystal system   orthorhombic



DFT (PBE) results for a relaxed Ca2AlTc crystal.

abc: 4.6037 2.9968 7.0447
angles: 64.73 90.00 90.00
Fractional positions:
Ca: 0.0000 0.9922 0.0082
Ca: 0.0000 0.5078 0.4918
Tc: 0.5000 0.2500 0.2500
Al: 0.5000 0.7500 0.7500

## Properties
Magnetic moment   0.00 μB per formula unit
Energy of formation from the pure elements   150 kJ/mol of formula units
Crystal system   monoclinic



DFT (PBE) results for a relaxed CaAlTc2 crystal.

abc: 3.3810 3.3810 6.5443
angles: 90.00 90.00 90.00
Fractional positions:
Ca: 0.5000 0.5000 0.7500
Tc: 0.0000 0.0000 0.0750
Tc: 0.0000 0.0000 0.4250
Al: 0.5000 0.5000 0.2500

## Properties
Magnetic moment   0.00 μB per formula unit
Energy of formation from the pure elements   42 kJ/mol of formula units
Crystal system   tetragonal



DFT (PBE) results for a relaxed CaAl2Tc crystal.

abc: 3.2791 3.2788 6.9518
angles: 90.00 90.00 90.00
Fractional positions:
Ca: 0.5000 0.5000 0.2500
Tc: 0.5000 0.5000 0.7500
Al: 0.0000 0.0000 0.9344
Al: 0.0000 0.0000 0.5656

## Properties
Magnetic moment   0.00 μB per formula unit
Energy of formation from the pure elements   -99 kJ/mol of formula units
Crystal system   tetragonal
ΔE to the lowest computed polymorph   0.0 meV per atom



DFT (PBE) results for a relaxed Ca2AlTc crystal.

abc: 4.9177 4.9177 4.9177
angles: 60.00 60.00 60.00
Fractional positions:
Ca: 0.0000 0.0000 0.0000
Ca: 0.2500 0.2500 0.2500
Tc: 0.7500 0.7500 0.7500
Al: 0.5000 0.5000 0.5000

## Properties
Magnetic moment   0.00 μB per formula unit
Energy of formation from the pure elements   114 kJ/mol of formula units
Crystal system   cubic



DFT (PBE) results for a relaxed Ca2AlTc crystal.

abc: 5.5483 5.5483 4.3645
angles: 66.84 66.84 46.31
Site moments in Bohr magnetons follow the coordinates.
Fractional positions:
Ca: 0.0000 0.0000 0.0000  0.00
Ca: 0.5000 0.5000 0.5000  0.00
Tc: 0.7500 0.7500 0.7500  0.97
Al: 0.2500 0.2500 0.2500  0.00

## Properties
Magnetic moment   1.09 μB per formula unit
Energy of formation from the pure elements   144 kJ/mol of formula units
Crystal system   tetragonal



The records above give, respectively, VASP energy values of -4.118, -6.295, -6.246, -4.140, -6.509, -5.220, -4.232, -4.154 eV per atom.